GGA-PBE TmSc5Co6, relaxed; space group = No. 71; magnetic moment = 1.19 μB/f.u.; formation energy = -0.324 eV/atom
1.0
-3.894 0.017 -2.132
2.805 -2.418 -5.142
-0.701 -4.954 5.851
Co Tm Sc
6 1 5
direct
0.169 0.423 0.338
0.831 0.577 0.662
0.500 0.742 0.000
0.500 0.258 0.000
0.831 0.085 0.662
0.169 0.915 0.338
0.000 0.000 0.000
0.667 0.667 0.333
0.669 0.169 0.338
0.333 0.333 0.667
0.000 0.500 0.000
0.331 0.831 0.662